This record from Alexandria via LeMat-Bulk describes a relaxed TiMn3O6 crystal. The functional is PBE+U.

extended XYZ file:
```
20
Lattice="4.3936 2.5366 3.3464 -4.3936 2.5366 3.3464 0.0000 -5.0733 3.3464" Properties=species:S:1:pos:R:3 pbc="T T T"
Ti 0.0000 0.0000 0.0000
Ti 0.0000 0.0000 5.0195
Mn -2.1436 -2.2319 4.6552
Mn -3.0047 0.7404 5.3838
Mn 0.8611 -2.9723 5.3838
Mn -0.8611 2.9723 4.6552
Mn 3.0047 -0.7404 4.6552
Mn 2.1436 2.2319 5.3838
O -3.6983 -1.1456 5.4777
O -0.8570 -3.7757 4.5614
O -1.6883 -0.0868 3.9741
O -2.8413 2.6300 4.5614
O 0.9193 -1.4187 3.9741
O -0.7690 -1.5055 6.0650
O 0.7690 1.5055 3.9741
O -0.9193 1.4187 6.0650
O 2.8413 -2.6300 5.4777
O 1.6883 0.0868 6.0650
O 0.8570 3.7757 5.4777
O 3.6983 1.1456 4.5614
```

Density of states at the Fermi level: 0.263 states/eV per atom
Calculated volume: 11.19 A^3/atom
Relative energy among the computed polymorphs: 0.0 meV per atom
Symmetry: R-3 (148)
Crystal system: trigonal